Below is a relaxed structure of TlZn2Ni, with properties calculated at the PBE-GGA level.

The calculated volume is 15.97 A^3/atom. The total energy is -2.38 eV/atom.

The structure in CIF format:
```
data_TlZn2Ni
_chemical_formula_sum 'Tl1 Zn2 Ni1'
_cell_length_a 4.4870
_cell_length_b 4.4870
_cell_length_c 4.4870
_cell_angle_alpha 60.00
_cell_angle_beta 60.00
_cell_angle_gamma 60.00
_symmetry_space_group_name_H-M 'P 1'
_symmetry_Int_Tables_number 1
loop_
_symmetry_equiv_pos_as_xyz
'x,y,z'
loop_
_atom_site_label
_atom_site_fract_x
_atom_site_fract_y
_atom_site_fract_z
Zn1 0.0000 0.0000 0.0000
Zn2 0.7500 0.7500 0.7500
Ni1 0.2500 0.2500 0.2500
Tl1 0.5000 0.5000 0.5000
```